The following is a GGA-PBEsol calculation of a geometry-optimized InHg3 structure, from Alexandria via LeMat-Bulk.

Computed properties:
SG: Cm
E in Ry/atom: -0.0870

a = 3.2495 Å, b = 5.5674 Å, c = 6.2181 Å
α = 117.56°, β = 105.15°, γ = 90.00°
Last column: nearest neighbours and their distance in Å.
Element x y z (fractional)
In 0.0000 0.3272 0.0001  10 Hg 3.17-3.26, 2 In 3.25
Hg 0.5001 0.8314 0.0001  8 Hg 3.17-3.26, 4 In 3.20-3.24
Hg 0.2506 0.2546 0.5011  9 Hg 3.17-3.25, 3 In 3.22-3.26
Hg 0.7494 0.7535 0.4987  3 In 3.17-3.23, 9 Hg 3.22-3.26

=====

The following is a GGA-PBEsol calculation of a geometry-optimized LaReAu structure, from Alexandria via LeMat-Bulk.

Computed properties:
SG: P3m1
E in Ry/atom: -0.5126

a = 2.8978 Å, b = 2.8978 Å, c = 7.8938 Å
α = 90.00°, β = 90.00°, γ = 120.00°
Last column: nearest neighbours and their distance in Å.
Element x y z (fractional)
Re 0.6667 0.3333 0.3131  3 Au 2.83, 6 Re 2.90
La 0.3333 0.6667 0.6626  6 La 2.90, 3 Re 3.23
Au 0.0000 0.0000 0.0243  3 Re 2.83, 6 Au 2.90

=====

The following is a GGA-PBEsol calculation of a geometry-optimized MgZr2Rh structure, from Alexandria via LeMat-Bulk.

Computed properties:
SG: Imm2
Relative energy among the computed polymorphs in eV/atom: 0.1072

a = 3.3090 Å, b = 4.7091 Å, c = 5.6747 Å
α = 114.51°, β = 106.95°, γ = 90.00°
Last column: nearest neighbours and their distance in Å.
Element x y z (fractional)
Rh 0.2541 0.7541 0.5082  6 Zr 2.68-2.88, 2 Mg 2.74
Zr 0.9696 0.9696 0.9393  2 Rh 2.68, 4 Mg 2.94
Zr 0.7449 0.2449 0.4899  4 Rh 2.88, 2 Mg 3.15, 4 Zr 3.16-3.22
Mg 0.5313 0.5313 0.0626  2 Rh 2.74, 4 Zr 2.94

=====

The following is a GGA-PBEsol calculation of a geometry-optimized LaYSc2 structure, from Alexandria via LeMat-Bulk.

Computed properties:
SG: Pmmm
Relative energy among the computed polymorphs in eV/atom: 0.0098

a = 3.4988 Å, b = 4.5160 Å, c = 6.9960 Å
α = 90.00°, β = 90.00°, γ = 90.00°
Last column: nearest neighbours and their distance in Å.
Element x y z (fractional)
La 0.5000 0.5000 0.5000  8 Sc 3.37, 2 Y 3.50, 2 La 3.50
Sc 0.0000 0.0000 0.2441  4 Y 3.33, 4 La 3.37, 4 Sc 3.42-3.58
Sc 0.0000 0.0000 0.7559  4 Y 3.33, 4 La 3.37, 4 Sc 3.42-3.58
Y 0.5000 0.5000 0.0000  8 Sc 3.33, 2 La 3.50, 2 Y 3.50

=====

The following is a GGA-PBEsol calculation of a geometry-optimized Ba3ScNi structure, from Alexandria via LeMat-Bulk.

Computed properties:
SG: Pm-3m
E in Ry/atom: -0.2548

a = 5.8946 Å, b = 5.8946 Å, c = 5.8946 Å
α = 90.00°, β = 90.00°, γ = 90.00°
Last column: nearest neighbours and their distance in Å.
Element x y z (fractional)
Ba 0.0000 0.5000 0.0000  2 Ni 2.95
Ba 0.0000 0.0000 0.5000  2 Ni 2.95
Ba 0.5000 0.0000 0.0000  2 Ni 2.95
Sc 0.5000 0.5000 0.5000  12 Ba 4.17
Ni 0.0000 0.0000 0.0000  6 Ba 2.95

=====

The following is a GGA-PBEsol calculation of a geometry-optimized NdCuSn structure, from Alexandria via LeMat-Bulk.

Computed properties:
SG: P6_3/mmc
E in Ry/atom: -0.3805

a = 4.5023 Å, b = 4.5023 Å, c = 7.7470 Å
α = 90.00°, β = 90.00°, γ = 120.00°
Last column: nearest neighbours and their distance in Å.
Element x y z (fractional)
Nd 0.0000 0.0000 0.5000  6 Sn 3.24, 6 Cu 3.24
Nd 0.0000 0.0000 0.0000  6 Sn 3.24, 6 Cu 3.24
Cu 0.6667 0.3333 0.7500  3 Sn 2.60
Cu 0.3333 0.6667 0.2500  3 Sn 2.60
Sn 0.3333 0.6667 0.7500  3 Cu 2.60
Sn 0.6667 0.3333 0.2500  3 Cu 2.60

=====

Looking at V for the records above, in order, we have 95.3, 57.4, 76.2, 110.5, 204.8, 68.0 Å³/f.u..